(1)
A plane-wave DFT calculation with PBE with a Hubbard U was carried out for RuW2F after structural relaxation.

For the excess energy over the best structure of this formula in the dataset, the calculation gives 0 meV per atom.

Cell: 6.4118 6.4118 5.4673 Å, 54.10 54.10 90.00°
Closest atoms and distances in Å follow each position.
Atoms (fractional coordinates):
Ru (0.0000, 0.0000, 0.0000)  4 W 2.54
Ru (0.7500, 0.2500, 0.5000)  4 W 2.54
W (0.5909, 0.1250, 0.2500)  2 F 2.25
W (0.1591, 0.6250, 0.2500)  2 F 2.25
W (0.3750, 0.4091, 0.7500)  2 F 2.25
W (0.8750, 0.8409, 0.7500)  2 F 2.25
F (0.5000, 0.5000, 0.0000)  4 W 2.25
F (0.2500, 0.7500, 0.5000)  4 W 2.25

(2)
A plane-wave DFT calculation with PBE with a Hubbard U was carried out for NaScWO6 after structural relaxation.

For the raw total energy, the calculation gives -0.509 Ry/atom.

Cell: 4.6296 5.4416 5.4416 Å, 120.00 90.00 90.00°
Closest atoms and distances in Å follow each position.
Atoms (fractional coordinates):
Na (0.5000, 0.6667, 0.3333)  6 O 2.41
Sc (0.0000, 0.3333, 0.6667)  6 O 2.13
W (0.5000, 0.0000, 0.0000)  6 O 1.94
O (0.7360, 0.6823, 0.7353)  1 W 1.94, 1 Sc 2.13
O (0.7360, 0.2647, 0.9470)  1 W 1.94, 1 Sc 2.13
O (0.7360, 0.0530, 0.3177)  1 W 1.94, 1 Sc 2.13
O (0.2640, 0.2647, 0.3177)  1 W 1.94, 1 Sc 2.13
O (0.2640, 0.6823, 0.9470)  1 W 1.94, 1 Sc 2.13
O (0.2640, 0.0530, 0.7353)  1 W 1.94, 1 Sc 2.13